[1]
Crystalline MoIr2Os2 at its relaxed geometry, computed with PBE.

As for the density of states at the Fermi level: 4.478 states/eV/f.u.

The space group is P4/mbm (No. 127) and the conventional cell measures 7.4743, 7.4743 and 2.7586 Å, with angles of 90.00, 90.00 and 90.00 degrees. The inequivalent atoms are Mo at (0.0000, 0.0000, 0.0000), Ir at (0.1732, 0.3268, 0.5000) and Os at (0.1234, 0.6234, 0.0000).

[2]
Crystalline Zr2Ga2Os at its relaxed geometry, computed with PBE.

As for the density of states at the Fermi level: 1.325 states/eV/f.u. For the offset from the most stable computed form, the calculation gives 0.007 eV per atom.

The space group is P4/mbm (No. 127) and the conventional cell measures 6.7968, 6.7968 and 3.8108 Å, with angles of 90.00, 90.00 and 90.00 degrees. The inequivalent atoms are Zr at (0.1739, 0.3261, 0.0000), Ga at (0.1307, 0.6307, 0.5000) and Os at (0.0000, 0.0000, 0.5000).

[3]
Crystalline MgCdCo4 at its relaxed geometry, computed with PBE.

As for the density of states at the Fermi level: 5.773 states/eV/f.u.

The space group is F-43m (No. 216) and the conventional cell measures 6.8970, 6.8970 and 6.8970 Å, with angles of 90.00, 90.00 and 90.00 degrees. The inequivalent atoms are Mg at (0.0000, 0.0000, 0.0000), Cd at (0.2500, 0.2500, 0.7500) and Co at (0.1253, 0.1253, 0.3747).

Calculated uncorrected energy (eV per atom), listed in the same order as above: -9.942 -7.404 -5.074
Calculated DFT formation energy (eV per atom), listed in the same order as above: 0.26 -0.53 0.08